No. 1
The following is a PBE calculation of a relaxed structure of SrZnRe2, from Alexandria via LeMat-Bulk.

Cell and atoms, written as POSCAR:
```
SrZnRe2
1.0
1.422 0.821 10.057
-1.422 0.821 10.057
0.000 -1.642 10.057
Sr Zn Re
1 1 2
direct
0.000 0.000 0.000
0.500 0.500 0.500
0.239 0.239 0.239
0.761 0.761 0.761
```

Computed properties:
Its calculated formation energy is 0.93 eV per atom.


No. 2
The following is a PBE calculation of a relaxed structure of RePBr2, from Alexandria via LeMat-Bulk.

Cell and atoms, written as POSCAR:
```
RePBr2
1.0
4.552 0.000 0.000
0.000 3.282 0.000
-2.269 0.000 7.500
Re P Br
1 1 2
direct
0.000 0.000 0.000
0.500 0.000 0.000
0.135 0.500 0.270
0.865 0.500 0.730
```

Computed properties:
The formation energy without anion corrections is 0.123 eV per atom.


No. 3
The following is a PBE calculation of a relaxed structure of YSc2, from Alexandria via LeMat-Bulk.

Cell and atoms, written as POSCAR:
```
YSc2
1.0
5.307 0.000 0.000
-2.653 4.596 0.000
0.000 0.000 3.319
Y Sc
1 2
direct
0.000 0.000 0.000
0.333 0.667 0.500
0.667 0.333 0.500
```

Computed properties:
Its calculated formation energy is 0.07 eV per atom.


No. 4
The following is a PBE calculation of a relaxed structure of AgAs2Se, from Alexandria via LeMat-Bulk.

Cell and atoms, written as POSCAR:
```
AgAs2Se
1.0
-1.918 1.918 5.718
1.918 -1.918 5.718
1.918 1.918 -5.718
Ag As Se
1 2 1
direct
0.000 0.000 0.000
0.250 0.750 0.500
0.750 0.250 0.500
0.500 0.500 0.000
```

Computed properties:
The formation energy without anion corrections is 0.371 eV per atom.


No. 5
The following is a PBE calculation of a relaxed structure of Na3ErSc2S6, from Alexandria via LeMat-Bulk.

Cell and atoms, written as POSCAR:
```
Na3ErSc2S6
1.0
3.318 -5.749 0.000
3.318 5.749 0.000
-2.216 0.000 6.643
Na Er Sc S
3 1 2 6
direct
0.000 0.000 0.000
0.335 0.665 0.000
0.665 0.335 0.000
0.500 0.500 0.500
0.167 0.833 0.500
0.833 0.167 0.500
0.083 0.427 0.281
0.229 0.229 0.719
0.427 0.083 0.281
0.573 0.917 0.719
0.771 0.771 0.281
0.917 0.573 0.719
```

Computed properties:
The formation energy without anion corrections is -1.776 eV per atom.


No. 6
The following is a PBE calculation of a relaxed structure of Zn4Co, from Alexandria via LeMat-Bulk.

Cell and atoms, written as POSCAR:
```
Zn4Co
1.0
2.750 -3.954 0.000
2.750 3.954 0.000
0.000 0.000 3.933
Zn Co
4 1
direct
0.000 0.500 0.500
0.248 0.248 0.000
0.500 0.000 0.500
0.752 0.752 0.000
0.500 0.500 0.500
```

Computed properties:
Its calculated formation energy is 0.12 eV per atom.


No. 7
The following is a PBE calculation of a relaxed structure of Tl3SbPb4, from Alexandria via LeMat-Bulk.

Cell and atoms, written as POSCAR:
```
Tl3SbPb4
1.0
-3.208 4.478 4.842
3.208 -4.478 4.842
3.208 4.478 -4.842
Tl Sb Pb
3 1 4
direct
0.000 0.000 0.000
0.131 0.318 0.813
0.505 0.318 0.187
0.405 0.905 0.500
0.319 0.633 0.686
0.682 0.432 0.750
0.682 0.933 0.250
0.946 0.633 0.314
```

Computed properties:
The formation energy without anion corrections is 0.124 eV per atom.


No. 8
The following is a PBE calculation of a relaxed structure of TlCdHg5, from Alexandria via LeMat-Bulk.

Cell and atoms, written as POSCAR:
```
TlCdHg5
1.0
4.761 0.000 0.000
0.000 4.761 0.000
0.000 0.000 8.807
Tl Cd Hg
1 1 5
direct
0.000 0.000 0.000
0.000 0.000 0.500
0.000 0.500 0.282
0.000 0.500 0.718
0.500 0.000 0.282
0.500 0.000 0.718
0.500 0.500 0.000
```

Computed properties:
Its calculated formation energy is 0.01 eV per atom.


No. 9
The following is a PBE calculation of a relaxed structure of PmPrMgZn, from Alexandria via LeMat-Bulk.

Cell and atoms, written as POSCAR:
```
PmPrMgZn
1.0
3.739 0.000 0.000
0.000 3.739 0.000
0.000 0.000 7.786
Pm Pr Mg Zn
1 1 1 1
direct
0.000 0.000 0.000
0.000 0.000 0.547
0.500 0.500 0.269
0.500 0.500 0.782
```

Computed properties:
Its calculated formation energy is -0.21 eV per atom.


No. 10
The following is a PBE calculation of a relaxed structure of Pr3ScHg4, from Alexandria via LeMat-Bulk.

Cell and atoms, written as POSCAR:
```
Pr3ScHg4
1.0
3.709 0.000 0.000
0.000 3.709 0.000
0.000 0.000 15.698
Pr Sc Hg
3 1 4
direct
0.000 0.000 0.000
0.000 0.000 0.263
0.000 0.000 0.737
0.000 0.000 0.500
0.500 0.500 0.130
0.500 0.500 0.398
0.500 0.500 0.602
0.500 0.500 0.870
```

Computed properties:
Its calculated formation energy is -0.44 eV per atom.


No. 11
The following is a PBE calculation of a relaxed structure of SrBiPd6, from Alexandria via LeMat-Bulk.

Cell and atoms, written as POSCAR:
```
SrBiPd6
1.0
5.336 0.000 0.000
0.000 5.336 0.000
0.000 0.000 5.336
Sr Bi Pd
1 1 6
direct
0.000 0.000 0.000
0.500 0.500 0.500
0.000 0.253 0.500
0.000 0.747 0.500
0.253 0.500 0.000
0.500 0.000 0.253
0.500 0.000 0.747
0.747 0.500 0.000
```

Computed properties:
Its calculated formation energy is -0.16 eV per atom.


No. 12
The following is a PBE calculation of a relaxed structure of Ac5MgCd6, from Alexandria via LeMat-Bulk.

Cell and atoms, written as POSCAR:
```
Ac5MgCd6
1.0
4.908 -8.510 0.000
4.908 8.510 0.000
-3.187 0.000 4.600
Ac Mg Cd
5 1 6
direct
0.000 0.000 0.000
0.168 0.832 0.500
0.332 0.668 0.000
0.668 0.332 0.000
0.832 0.168 0.500
0.500 0.500 0.500
0.112 0.421 0.267
0.272 0.272 0.772
0.421 0.112 0.267
0.579 0.888 0.733
0.728 0.728 0.228
0.888 0.579 0.733
```

Computed properties:
Its calculated formation energy is -0.26 eV per atom.